# Zn2Ag3Au3 | Alexandria via LeMat-Bulk | GGA-PBE | optimized geometry
data_Zn2Ag3Au3
_chemical_formula_sum 'Zn8 Ag12 Au12'
_cell_length_a 4.336
_cell_length_b 9.967
_cell_length_c 13.393
_cell_angle_alpha 90.00
_cell_angle_beta 90.00
_cell_angle_gamma 90.00
_symmetry_space_group_name_H-M 'C m c m'
_symmetry_Int_Tables_number 63
_symmetry_space_group_name_Hall '-C 2c 2'
loop_
_atom_site_label
_atom_site_fract_x
_atom_site_fract_y
_atom_site_fract_z
Zn1 0.000 0.245 0.112
Ag1 0.000 0.078 0.592
Ag2 0.000 0.267 0.750
Au1 0.000 0.390 0.564
Au2 0.000 0.440 0.250
# Electronic total energy   -2.684 eV per atom
# Volume   578.8 Å³/cell
# Formation energy from the elements   -0.068 eV per atom

***

# Zn5Ag8Au | Alexandria via LeMat-Bulk | GGA-PBE | optimized geometry
data_Zn5Ag8Au
_chemical_formula_sum 'Zn10 Ag16 Au2'
_cell_length_a 7.858
_cell_length_b 7.858
_cell_length_c 8.014
_cell_angle_alpha 90.00
_cell_angle_beta 90.00
_cell_angle_gamma 90.00
_symmetry_space_group_name_H-M 'I -4'
_symmetry_Int_Tables_number 82
loop_
_symmetry_equiv_pos_as_xyz
'x,y,z'
'y,-x,-z'
'-x,-y,z'
'-y,x,-z'
'x+1/2,y+1/2,z+1/2'
'y+1/2,-x+1/2,-z+1/2'
'-x+1/2,-y+1/2,z+1/2'
'-y+1/2,x+1/2,-z+1/2'
loop_
_atom_site_label
_atom_site_fract_x
_atom_site_fract_y
_atom_site_fract_z
Zn1 0.000 0.000 0.000
Zn2 0.122 0.216 0.409
Ag1 0.069 0.331 0.079
Ag2 0.099 0.165 0.736
Au1 0.000 0.500 0.750
# Electronic total energy   -2.262 eV per atom
# Volume   494.8 Å³/cell
# Formation energy from the elements   0.056 eV per atom

***

# Zn2Ag3Au4 | Alexandria via LeMat-Bulk | GGA-PBE | optimized geometry
data_Zn2Ag3Au4
_chemical_formula_sum 'Zn8 Ag12 Au16'
_cell_length_a 12.030
_cell_length_b 10.628
_cell_length_c 5.006
_cell_angle_alpha 90.00
_cell_angle_beta 92.25
_cell_angle_gamma 90.00
_symmetry_space_group_name_H-M 'C 1 2/c 1'
_symmetry_Int_Tables_number 15
loop_
_symmetry_equiv_pos_as_xyz
'x,y,z'
'-x,-y,-z'
'-x,y,-z+1/2'
'x,-y,z+1/2'
'x+1/2,y+1/2,z'
'-x+1/2,-y+1/2,-z'
'-x+1/2,y+1/2,-z+1/2'
'x+1/2,-y+1/2,z+1/2'
loop_
_atom_site_label
_atom_site_fract_x
_atom_site_fract_y
_atom_site_fract_z
Zn1 0.222 0.085 0.425
Ag1 0.000 0.051 0.250
Ag2 0.102 0.430 0.935
Au1 0.094 0.289 0.436
Au2 0.164 0.159 0.915
# Electronic total energy   -2.750 eV per atom
# Volume   639.5 Å³/cell
# Formation energy from the elements   -0.059 eV per atom

***

# Zn6AgAu12 | Alexandria via LeMat-Bulk | GGA-PBE | optimized geometry
data_Zn6AgAu12
_chemical_formula_sum 'Zn18 Ag3 Au36'
_cell_length_a 12.5991
_cell_length_b 12.5991
_cell_length_c 7.0664
_cell_angle_alpha 90.00
_cell_angle_beta 90.00
_cell_angle_gamma 120.00
_symmetry_space_group_name_H-M 'R -3'
_symmetry_Int_Tables_number 148
_symmetry_space_group_name_Hall '-R 3'
loop_
_atom_site_label
_atom_site_fract_x
_atom_site_fract_y
_atom_site_fract_z
Zn1 0.0270 0.2757 0.3256
Ag1 0.0000 0.0000 0.0000
Au1 0.0009 0.8618 0.3404
Au2 0.0637 0.5580 0.6718
# Electronic total energy   -2.754 eV per atom
# Volume   971.4 Å³/cell
# Formation energy from the elements   -0.132 eV per atom

***

# Zn9Ag3Au2 | Alexandria via LeMat-Bulk | GGA-PBE | optimized geometry
data_Zn9Ag3Au2
_chemical_formula_sum 'Zn18 Ag6 Au4'
_cell_length_a 10.666
_cell_length_b 10.008
_cell_length_c 4.482
_cell_angle_alpha 90.00
_cell_angle_beta 104.83
_cell_angle_gamma 90.00
_symmetry_space_group_name_H-M 'C 1 2/m 1'
_symmetry_Int_Tables_number 12
loop_
_symmetry_equiv_pos_as_xyz
'x,y,z'
'-x,-y,-z'
'-x,y,-z'
'x,-y,z'
'x+1/2,y+1/2,z'
'-x+1/2,-y+1/2,-z'
'-x+1/2,y+1/2,-z'
'x+1/2,-y+1/2,z'
loop_
_atom_site_label
_atom_site_fract_x
_atom_site_fract_y
_atom_site_fract_z
Zn1 0.000 0.000 0.000
Zn2 0.136 0.236 0.071
Zn3 0.146 0.373 0.570
Ag1 0.000 0.500 0.000
Ag2 0.233 0.000 0.853
Au1 0.000 0.150 0.500
# Electronic total energy   -1.949 eV per atom
# Volume   462.5 Å³/cell
# Formation energy from the elements   -0.051 eV per atom

***

# Zn6Ag8Au | Alexandria via LeMat-Bulk | GGA-PBE | optimized geometry
data_Zn6Ag8Au
_chemical_formula_sum 'Zn18 Ag24 Au3'
_cell_length_a 7.6853
_cell_length_b 7.6853
_cell_length_c 16.0514
_cell_angle_alpha 90.00
_cell_angle_beta 90.00
_cell_angle_gamma 120.00
_symmetry_space_group_name_H-M 'R -3'
_symmetry_Int_Tables_number 148
_symmetry_space_group_name_Hall '-R 3'
loop_
_atom_site_label
_atom_site_fract_x
_atom_site_fract_y
_atom_site_fract_z
Zn1 0.0023 0.3277 0.0525
Ag1 0.0000 0.0000 0.3294
Ag2 0.0031 0.3470 0.8831
Au1 0.0000 0.0000 0.0000
# Electronic total energy   -2.198 eV per atom
# Volume   821.1 Å³/cell
# Formation energy from the elements   0.051 eV per atom

***

> What is the formula in the fourth record?

Zn6AgAu12

***

> Which formula does entry 3 have?

Zn2Ag3Au4

***

> Which of these has the lowest volume?

Zn9Ag3Au2

***

> Which of these has the highest electronic total energy?

Zn9Ag3Au2